# 1
Density functional theory data (PBE) for crystalline Cs4BrClF2 at its relaxed geometry.

Output
The value obtained for the volume is 294 Å³/f.u. The uncorrected formation energy comes out at -17.82 eV/f.u. Its crystal system is monoclinic.

Cell: 4.627 8.332 8.056 Å, 71.28 90.00 90.00°
Positions (direct):
Cs 0.000 0.794 0.729
Cs 0.000 0.206 0.271
Cs 0.500 0.788 0.242
Cs 0.500 0.212 0.758
Br 0.500 0.500 0.000
Cl 0.000 0.500 0.500
F 0.000 0.000 0.000
F 0.500 0.000 0.500

# 2
Density functional theory data (PBE) for crystalline TbGdCdPd at its relaxed geometry.

Output
The value obtained for the volume is 97 Å³/f.u. As for the formation energy: -0.54 eV/atom. Its crystal system is cubic.

Cell: 5.158 5.158 5.158 Å, 60.00 60.00 60.00°
Positions (direct):
Gd 0.000 0.000 0.000
Tb 0.500 0.500 0.500
Pd 0.250 0.250 0.250
Cd 0.750 0.750 0.750